# 1
Here is Mg8AgAu2 after structural relaxation from Alexandria via LeMat-Bulk. Energies are from PBE.

```
Mg8AgAu2
1.0
-2.249 3.783 6.502
2.249 -3.783 6.502
2.249 3.783 -6.502
Mg Ag Au
8 1 2
direct
0.121 0.341 0.780
0.149 0.149 0.000
0.306 0.000 0.306
0.439 0.659 0.780
0.561 0.341 0.220
0.694 0.000 0.694
0.851 0.851 0.000
0.879 0.659 0.220
0.000 0.500 0.500
0.310 0.810 0.500
0.690 0.190 0.500
```

Summary:
Fermi-level density of states: 3.301 states/eV per cell
theoretical density: 5.22 g cm⁻³
ΔE_f: -0.32 eV/atom

# 2
Here is MgAg8Au2 after structural relaxation from Alexandria via LeMat-Bulk. Energies are from PBE.

```
MgAg8Au2
1.0
7.486 -2.072 0.000
7.486 2.072 0.000
-1.707 0.000 6.348
Mg Ag Au
1 8 2
direct
0.000 0.000 0.000
0.090 0.090 0.453
0.182 0.182 0.911
0.365 0.365 0.818
0.454 0.454 0.271
0.546 0.546 0.729
0.635 0.635 0.182
0.818 0.818 0.089
0.910 0.910 0.547
0.273 0.273 0.363
0.727 0.727 0.637
```

Summary:
Fermi-level density of states: 3.029 states/eV per cell
theoretical density: 10.80 g cm⁻³
ΔE_f: -0.07 eV/atom